Entry 1:
A plane-wave DFT calculation with SCAN was carried out for Os2Au at its PBEsol-relaxed geometry.

Output
energy = -70.60 eV/atom
DFT formation energy = 1.1 eV/f.u.
excess energy over the best structure of this formula in the dataset = 0.000 eV per atom

abc: 2.7818 2.7818 6.1501
angles: 103.07 103.07 90.00
Closest atoms and distances in Å follow each position.
Atoms (fractional coordinates):
Au 0.0000 0.0000 0.0000  4 Au 2.78, 8 Os 2.87
Os 0.6794 0.6794 0.3588  8 Os 2.56-2.78, 4 Au 2.87
Os 0.3206 0.3206 0.6412  8 Os 2.56-2.78, 4 Au 2.87

Entry 2:
A plane-wave DFT calculation with SCAN was carried out for OsAu2 at its PBEsol-relaxed geometry.

Output
energy = -69.24 eV/atom
DFT formation energy = 2.5 eV/f.u.
excess energy over the best structure of this formula in the dataset = 0.000 eV per atom

abc: 2.6291 4.6023 4.6023
angles: 120.00 90.00 90.00
Closest atoms and distances in Å follow each position.
Atoms (fractional coordinates):
Au 0.5896 0.6667 0.3333  5 Au 2.63-2.70, 3 Os 2.87
Os 0.0000 0.0000 0.0000  2 Os 2.63, 6 Au 2.87
Au 0.4104 0.3333 0.6667  5 Au 2.63-2.70, 3 Os 2.87

Entry 3:
A plane-wave DFT calculation with SCAN was carried out for OsAu5 at its PBEsol-relaxed geometry.

Output
energy = -68.74 eV/atom
DFT formation energy = 5.2 eV/f.u.

abc: 4.7480 5.2151 5.2151
angles: 120.00 90.00 90.00
Closest atoms and distances in Å follow each position.
Atoms (fractional coordinates):
Au 0.5000 0.5000 0.5000  8 Au 2.61-2.81
Au 0.0000 0.6667 0.3333  9 Au 2.81-3.01, 3 Os 3.01
Au 0.5000 0.5000 0.0000  8 Au 2.61-2.81
Au 0.5000 0.0000 0.5000  8 Au 2.61-2.81
Au 0.0000 0.3333 0.6667  9 Au 2.81-3.01, 3 Os 3.01
Os 0.0000 0.0000 0.0000  6 Au 3.01

Entry 4:
A plane-wave DFT calculation with SCAN was carried out for Os3Au at its PBEsol-relaxed geometry.

Output
energy = -70.71 eV/atom
DFT formation energy = 2.0 eV/f.u.
excess energy over the best structure of this formula in the dataset = 0.000 eV per atom

abc: 2.7411 3.8619 5.5147
angles: 90.00 90.00 90.00
Closest atoms and distances in Å follow each position.
Atoms (fractional coordinates):
Os 0.0000 0.0000 0.5000  10 Os 2.70-2.74, 2 Au 2.76
Os 0.5000 0.5000 0.7342  7 Os 2.58-2.74, 4 Au 2.78
Au 0.0000 0.0000 0.0000  2 Au 2.74, 10 Os 2.76-2.78
Os 0.5000 0.5000 0.2658  7 Os 2.58-2.74, 4 Au 2.78

Entry 5:
A plane-wave DFT calculation with SCAN was carried out for OsAu2 at its PBEsol-relaxed geometry.

Output
energy = -69.13 eV/atom
DFT formation energy = 2.8 eV/f.u.
excess energy over the best structure of this formula in the dataset = 0.112 eV per atom

abc: 4.5208 4.5208 5.5017
angles: 90.00 90.00 120.00
Closest atoms and distances in Å follow each position.
Atoms (fractional coordinates):
Au 0.0000 0.0000 0.0000  8 Au 2.75-2.95, 6 Os 2.95
Au 0.6667 0.3333 0.7500  5 Os 2.61-2.75
Os 0.3333 0.6667 0.7500  5 Au 2.61-2.75
Au 0.0000 0.0000 0.5000  8 Au 2.75-2.95, 6 Os 2.95
Os 0.6667 0.3333 0.2500  5 Au 2.61-2.75
Au 0.3333 0.6667 0.2500  5 Os 2.61-2.75

Entry 6:
A plane-wave DFT calculation with SCAN was carried out for Os2Au at its PBEsol-relaxed geometry.

Output
energy = -70.18 eV/atom
DFT formation energy = 2.4 eV/f.u.
excess energy over the best structure of this formula in the dataset = 0.422 eV per atom

abc: 2.7357 4.3945 4.3945
angles: 120.00 90.00 90.00
Closest atoms and distances in Å follow each position.
Atoms (fractional coordinates):
Au 0.0000 0.0000 0.0000  2 Au 2.74, 12 Os 2.88
Os 0.5000 0.3333 0.6667  5 Os 2.54-2.74
Os 0.5000 0.6667 0.3333  5 Os 2.54-2.74